DFT (PBE) results for a geometry-optimized NbPdNF2 structure.

Structure (POSCAR):
```
NbPdNF2
1.0
4.118 0.000 0.000
0.000 4.118 0.000
0.000 0.000 4.088
Pd F N Nb
1 2 1 1
Direct
0.000 0.000 0.000 Pd
0.000 0.500 0.000 F
0.500 0.000 0.000 F
0.000 0.000 0.500 N
0.500 0.500 0.500 Nb
```

The calculation puts the total magnetic moment at 2.13 μB/cell. Its formation energy from raw total energies is 0.232 eV per atom. The density of states at the Fermi level is 5.923 states/eV/f.u. As for the energy above the lowest structure with this stoichiometry: 1180.0 meV per atom. Its crystal system is tetragonal.